# Dy29Y3O48

Dy29Y3O48 after structural relaxation (GGA-PBE, Alexandria via LeMat-Bulk).

Values from the calculation:
Fermi-level density of states, states/eV per cell: 0.00
Space-group type: P1, No. 1
Calculated total energy, eV per atom: -8.474

Lattice parameters (Å, degrees): 9.246 9.248 15.099 90.01 90.00 109.47
Element x y z (fractional)
O: 0.374 0.843 0.886
O: 0.593 0.104 0.635
O: 0.233 0.463 0.494
O: 0.991 0.250 0.021
O: 0.892 0.349 0.620
O: 0.213 0.484 0.756
O: 0.777 0.005 0.765
O: 0.499 0.260 0.271
O: 0.501 0.740 0.729
O: 0.108 0.651 0.380
O: 0.094 0.124 0.864
O: 0.245 0.973 0.515
O: 0.766 0.537 0.506
O: 0.256 0.527 0.985
O: 0.146 0.157 0.385
O: 0.490 0.751 0.521
O: 0.099 0.142 0.630
O: 0.354 0.343 0.115
O: 0.646 0.657 0.885
O: 0.907 0.396 0.864
O: 0.266 0.037 0.006
O: 0.392 0.849 0.120
O: 0.001 0.240 0.229
O: 0.733 0.963 0.995
O: 0.626 0.157 0.114
O: 0.401 0.358 0.870
O: 0.713 0.984 0.256
O: 0.901 0.858 0.370
O: 0.599 0.642 0.130
O: 0.407 0.896 0.365
O: 0.510 0.249 0.479
O: 0.126 0.657 0.614
O: 0.723 0.495 0.734
O: 0.010 0.750 0.979
O: 0.874 0.343 0.386
O: 0.755 0.027 0.485
O: 0.907 0.876 0.136
O: 0.093 0.605 0.136
O: 0.744 0.473 0.015
O: 0.287 0.016 0.744
O: 0.999 0.760 0.771
O: 0.407 0.376 0.636
O: 0.223 0.995 0.235
O: 0.787 0.516 0.244
O: 0.277 0.505 0.265
O: 0.608 0.151 0.880
O: 0.594 0.624 0.364
O: 0.854 0.843 0.615
Dy: 0.750 0.750 0.750
Dy: 0.016 0.484 0.266
Dy: 0.158 0.908 0.875
Dy: 0.750 0.750 0.250
Dy: 0.484 0.016 0.234
Dy: 0.250 0.250 0.250
Dy: 0.843 0.093 0.625
Dy: 0.766 0.734 0.016
Dy: 0.234 0.266 0.984
Dy: 0.000 0.500 0.500
Dy: 0.658 0.407 0.375
Dy: 0.842 0.092 0.125
Dy: 0.158 0.908 0.375
Dy: 0.250 0.250 0.750
Dy: 0.342 0.592 0.625
Dy: 0.734 0.766 0.484
Dy: 0.500 0.000 0.500
Dy: 0.266 0.234 0.516
Dy: 0.609 0.391 0.141
Dy: 0.109 0.891 0.641
Dy: 0.891 0.109 0.359
Dy: 0.500 0.000 0.000
Dy: 0.141 0.859 0.109
Dy: 0.641 0.359 0.609
Dy: 0.516 0.984 0.766
Dy: 0.657 0.408 0.875
Dy: 0.391 0.609 0.859
Dy: 0.343 0.593 0.125
Dy: 0.984 0.516 0.734
Y: 0.859 0.141 0.891
Y: 0.000 0.500 0.000
Y: 0.359 0.641 0.391